[1]
VASP calculation (GGA-PBE) on an optimized crystal structure of ZrTlCu3S4.

Cell lengths 5.997, 5.997, 5.997 Å; angles 90.00, 90.00, 90.00 degrees
Space group P-43m (No. 215)
Inequivalent atoms, fractional coordinates:
1 Zr 0.000 0.000 0.000
2 Tl 0.500 0.500 0.500
3 Cu 0.000 0.000 0.500
4 S 0.228 0.228 0.772

Calculated values
- VASP energy: -4.8239 eV/atom
- Total magnetization: 0.00 μB/atom
- Crystal system: cubic
- Calculated density: 4.73 g/cm3

[2]
VASP calculation (GGA-PBE) on an optimized crystal structure of Ta7Re8.

Cell lengths 9.847, 9.847, 5.135 Å; angles 90.00, 90.00, 90.00 degrees
Space group P4_2/mnm (No. 136)
Inequivalent atoms, fractional coordinates:
1 Ta 0.000 0.000 0.000
2 Ta 0.060 0.266 0.000
3 Ta 0.106 0.106 0.500
4 Re 0.029 0.368 0.500
5 Re 0.185 0.815 0.253

Calculated values
- VASP energy: -12.1337 eV/atom
- Total magnetization: 0.00 μB/atom
- ΔE_f: 0.023 eV/atom
- Crystal system: tetragonal
- Calculated density: 18.39 g/cm3

[3]
VASP calculation (GGA-PBE) on an optimized crystal structure of RbZn3.

Cell lengths 4.481, 7.165, 6.278 Å; angles 90.00, 90.00, 90.00 degrees
Space group Pmmn (No. 59, origin choice 2)
Inequivalent atoms, fractional coordinates:
1 Rb 0.250 0.250 0.081
2 Zn 0.250 0.068 0.577
3 Zn 0.250 0.750 0.406

Calculated values
- VASP energy: -1.1521 eV/atom
- Crystal system: orthorhombic
- Calculated density: 4.64 g/cm3

[4]
VASP calculation (GGA-PBE) on an optimized crystal structure of ErBeAsO.

Cell lengths 4.147, 5.924, 5.509 Å; angles 90.00, 90.00, 90.00 degrees
Space group Pmc2_1 (No. 26)
Inequivalent atoms, fractional coordinates:
1 Er 0.000 0.248 0.000
2 Be 0.500 0.105 0.638
3 As 0.000 0.270 0.507
4 O 0.500 0.117 0.950

Calculated values
- VASP energy: -6.3012 eV/atom
- Total magnetization: 0.00 μB/atom
- Crystal system: orthorhombic
- Calculated density: 6.56 g/cm3